## LaPrN4 (PBE-GGA)

Data for an optimized crystal structure of LaPrN4.

Output
- Fermi-level density of states: 3.7 states/eV/f.u.
- Calculated volume: 172.8 Å³ per cell
- Formation energy without anion corrections: -0.768 eV/atom
- Crystal system: monoclinic

Unit cell a=7.428 b=3.739 c=7.091 alpha=90.00 beta=118.68 gamma=90.00
Space group C2/m (No. 12)
One atom of each set of equivalent atoms:
La 0.000 0.000 0.000 x2
Pr 0.000 0.500 0.500 x2
N 0.185 0.000 0.789 x4
N 0.190 0.500 0.293 x4